A relaxed LaAgPdN2 crystal. Source: Alexandria via LeMat-Bulk, functional PBE.

Properties
**Calculated volume**: 96 Å³/f.u.
**E_form (uncorrected)**: 26.31 kcal/mol of atoms
**Space-group type**: P4/mmm
**N(E_F)**: 2.596 states/eV/f.u.

a = 4.1947 Å, b = 4.1947 Å, c = 5.4699 Å
α = 90.00°, β = 90.00°, γ = 90.00°
Atoms (fractional coordinates):
1 La 0.0000 0.0000 0.0000
2 Ag 0.5000 0.5000 0.0000
3 Pd 0.0000 0.0000 0.5000
4 N 0.0000 0.5000 0.5000
5 N 0.5000 0.0000 0.5000